Below is crystalline CaAc6La2Pr at its relaxed geometry, with properties calculated at the PBE-GGA level.

Properties
total DFT energy (no corrections) = -40.14 eV/f.u.
formation enthalpy at 0 K = 0.11 eV per atom
density of states at the Fermi level = 1.735 states/eV/atom
density = 7.12 g/cm³

Unit cell a=9.916 b=16.116 c=10.967 alpha=90.00 beta=104.15 gamma=90.00
Space group C2/c (No. 15)
One atom of each set of equivalent atoms:
Ca: 0.000 0.103 0.250 [4 per cell]
Ac: 0.073 0.318 0.451 [8 per cell]
Ac: 0.097 0.096 0.617 [8 per cell]
Ac: 0.201 0.282 0.825 [8 per cell]
La: 0.229 0.457 0.048 [8 per cell]
Pr: 0.000 0.490 0.750 [4 per cell]

=====

Below is crystalline CaAc4LaPr2 at its relaxed geometry, with properties calculated at the PBE-GGA level.

Properties
total DFT energy (no corrections) = -32.28 eV/f.u.
formation enthalpy at 0 K = 0.08 eV per atom
density of states at the Fermi level = 2.095 states/eV/atom
density = 6.86 g/cm³

Unit cell a=6.351 b=6.349 c=8.219 alpha=90.00 beta=90.02 gamma=90.00
Space group P2/m (No. 10)
One atom of each set of equivalent atoms:
Ca: 0.000 0.000 0.000 [1 per cell]
Ac: 0.001 0.500 0.751 [2 per cell]
Ac: 0.500 0.000 0.250 [2 per cell]
La: 0.500 0.500 0.500 [1 per cell]
Pr: 0.000 0.000 0.500 [1 per cell]
Pr: 0.500 0.500 0.000 [1 per cell]

=====

Below is crystalline CaAc2LaPr at its relaxed geometry, with properties calculated at the PBE-GGA level.

Properties
total DFT energy (no corrections) = -18.19 eV/f.u.
formation enthalpy at 0 K = 0.35 eV per atom
density of states at the Fermi level = 1.530 states/eV/atom
density = 5.88 g/cm³

Unit cell a=9.237 b=6.514 c=7.327 alpha=90.00 beta=97.83 gamma=90.00
Space group P2/c (No. 13)
One atom of each set of equivalent atoms:
Ca: 0.000 0.018 0.250 [2 per cell]
Ac: 0.329 0.111 0.595 [4 per cell]
La: 0.000 0.500 0.000 [2 per cell]
Pr: 0.500 0.397 0.250 [2 per cell]

=====

Below is crystalline CaAcLa2Pr at its relaxed geometry, with properties calculated at the PBE-GGA level.

Properties
total DFT energy (no corrections) = -20.49 eV/f.u.
formation enthalpy at 0 K = 0.05 eV per atom
density of states at the Fermi level = 1.725 states/eV/atom
density = 5.78 g/cm³

Unit cell a=6.601 b=6.138 c=10.243 alpha=90.00 beta=108.38 gamma=90.00
Space group P2_1/m (No. 11)
One atom of each set of equivalent atoms:
Ca: 0.226 0.250 0.291 [2 per cell]
Ac: 0.182 0.750 0.503 [2 per cell]
La: 0.369 0.750 0.911 [2 per cell]
La: 0.430 0.250 0.716 [2 per cell]
Pr: 0.041 0.250 0.900 [2 per cell]

=====

Below is crystalline Ca2Ac4LaPr at its relaxed geometry, with properties calculated at the PBE-GGA level.

Properties
total DFT energy (no corrections) = -29.79 eV/f.u.
formation enthalpy at 0 K = 0.04 eV per atom
density of states at the Fermi level = 1.538 states/eV/atom
density = 6.32 g/cm³

Unit cell a=5.551 b=5.580 c=10.760 alpha=90.00 beta=90.00 gamma=90.00
Space group Pmmm (No. 47)
One atom of each set of equivalent atoms:
Ca: 0.000 0.000 0.000 [1 per cell]
Ca: 0.500 0.500 0.500 [1 per cell]
Ac: 0.000 0.500 0.248 [2 per cell]
Ac: 0.500 0.000 0.249 [2 per cell]
La: 0.000 0.000 0.500 [1 per cell]
Pr: 0.500 0.500 0.000 [1 per cell]

=====

Below is crystalline CaAcLa3Pr at its relaxed geometry, with properties calculated at the PBE-GGA level.

Properties
total DFT energy (no corrections) = -24.65 eV/f.u.
formation enthalpy at 0 K = 0.17 eV per atom
density of states at the Fermi level = 1.640 states/eV/atom
density = 5.77 g/cm³

Unit cell a=21.795 b=6.249 c=6.990 alpha=90.00 beta=93.74 gamma=90.00
Space group C2/m (No. 12)
One atom of each set of equivalent atoms:
Ca: 0.057 0.000 0.260 [4 per cell]
Ac: 0.154 0.500 0.046 [4 per cell]
La: 0.017 0.500 0.756 [4 per cell]
La: 0.159 0.000 0.771 [4 per cell]
La: 0.225 0.000 0.312 [4 per cell]
Pr: 0.136 0.500 0.516 [4 per cell]

=====

Below is crystalline CaAcLa2Pr6 at its relaxed geometry, with properties calculated at the PBE-GGA level.

Properties
total DFT energy (no corrections) = -43.50 eV/f.u.
formation enthalpy at 0 K = 0.11 eV per atom
density of states at the Fermi level = 1.534 states/eV/atom
density = 6.06 g/cm³

Unit cell a=9.418 b=15.999 c=10.203 alpha=90.00 beta=97.59 gamma=90.00
Space group C2/c (No. 15)
One atom of each set of equivalent atoms:
Ca: 0.000 0.098 0.250 [4 per cell]
Ac: 0.000 0.478 0.750 [4 per cell]
La: 0.244 0.053 0.957 [8 per cell]
Pr: 0.062 0.316 0.449 [8 per cell]
Pr: 0.105 0.108 0.620 [8 per cell]
Pr: 0.201 0.270 0.822 [8 per cell]

=====

Below is crystalline Ca2Ac2LaPr at its relaxed geometry, with properties calculated at the PBE-GGA level.

Properties
total DFT energy (no corrections) = -21.70 eV/f.u.
formation enthalpy at 0 K = 0.04 eV per atom
density of states at the Fermi level = 1.535 states/eV/atom
density = 5.46 g/cm³

Unit cell a=5.486 b=11.614 c=7.764 alpha=90.00 beta=90.00 gamma=90.00
Space group Pmc2_1 (No. 26)
One atom of each set of equivalent atoms:
Ca: 0.000 0.004 0.000 [2 per cell]
Ca: 0.500 0.168 0.754 [2 per cell]
Ac: 0.000 0.340 0.503 [2 per cell]
Ac: 0.500 0.179 0.250 [2 per cell]
La: 0.500 0.500 0.261 [2 per cell]
Pr: 0.000 0.342 0.017 [2 per cell]

=====

Below is crystalline CaAcLaPt2 at its relaxed geometry, with properties calculated at the PBE-GGA level.

Properties
total DFT energy (no corrections) = -27.66 eV/f.u.
formation enthalpy at 0 K = -0.91 eV per atom
density of states at the Fermi level = 0.625 states/eV/atom
density = 8.10 g/cm³

Unit cell a=15.328 b=4.374 c=10.102 alpha=90.00 beta=105.58 gamma=90.00
Space group C2/m (No. 12)
One atom of each set of equivalent atoms:
Ca: 0.146 0.000 0.017 [4 per cell]
Ac: 0.191 0.000 0.636 [4 per cell]
La: 0.032 0.500 0.293 [4 per cell]
Pt: 0.157 0.500 0.826 [4 per cell]
Pt: 0.160 0.000 0.317 [4 per cell]

=====

Below is crystalline CaAcLa2Ru at its relaxed geometry, with properties calculated at the PBE-GGA level.

Properties
total DFT energy (no corrections) = -26.04 eV/f.u.
formation enthalpy at 0 K = -0.16 eV per atom
density of states at the Fermi level = 0.699 states/eV/atom
density = 5.72 g/cm³

Unit cell a=5.633 b=5.633 c=5.910 alpha=90.00 beta=90.00 gamma=90.00
Space group P4/mmm (No. 123)
One atom of each set of equivalent atoms:
Ca: 0.000 0.000 0.000 [1 per cell]
Ac: 0.500 0.500 0.000 [1 per cell]
La: 0.000 0.500 0.500 [2 per cell]
Ru: 0.500 0.500 0.500 [1 per cell]

=====

Below is crystalline CaAc2LaS4 at its relaxed geometry, with properties calculated at the PBE-GGA level.

Properties
total DFT energy (no corrections) = -48.07 eV/f.u.
E_form (uncorrected) = -16.4 eV per formula unit
density of states at the Fermi level = 0.445 states/eV/atom
density = 6.00 g/cm³

Unit cell a=7.298 b=4.183 c=7.309 alpha=90.00 beta=109.12 gamma=90.00
Space group P2/m (No. 10)
One atom of each set of equivalent atoms:
Ca: 0.000 0.000 0.000 [1 per cell]
Ac: 0.000 0.500 0.500 [1 per cell]
Ac: 0.500 0.000 0.500 [1 per cell]
La: 0.500 0.500 0.000 [1 per cell]
S: 0.239 0.500 0.232 [2 per cell]
S: 0.248 0.000 0.765 [2 per cell]

=====

Below is crystalline Ca2AcLaS4 at its relaxed geometry, with properties calculated at the PBE-GGA level.

Properties
total DFT energy (no corrections) = -46.08 eV/f.u.
E_form (uncorrected) = -16.5 eV per formula unit
density of states at the Fermi level = 0.449 states/eV/atom
density = 4.75 g/cm³

Unit cell a=7.130 b=4.119 c=7.243 alpha=90.00 beta=109.16 gamma=90.00
Space group P2/m (No. 10)
One atom of each set of equivalent atoms:
Ca: 0.000 0.000 0.000 [1 per cell]
Ca: 0.500 0.500 0.000 [1 per cell]
Ac: 0.000 0.500 0.500 [1 per cell]
La: 0.500 0.000 0.500 [1 per cell]
S: 0.250 0.500 0.236 [2 per cell]
S: 0.260 0.000 0.767 [2 per cell]

=====

Question: The lowest total DFT energy (no corrections) belongs to which entry?
Answer: CaAc2LaS4

=====

Question: Which of these has the lowest density of states at the Fermi level?
Answer: CaAc2LaS4